Record 1
Crystalline SrCaGdSbO6 at its relaxed geometry. Source: Alexandria, functional GGA-PBE.

Properties
ΔE_f (raw) in meV per atom: -2528
Size of the total moment in μB/cell: 6.973
Symmetry: F-43m (216)

CIF file:
```
data_SrCaGdSbO6
_cell_length_a 5.9499
_cell_length_b 5.9499
_cell_length_c 5.9499
_cell_angle_alpha 60.00
_cell_angle_beta 60.00
_cell_angle_gamma 60.00
_space_group_name_H-M_alt 'P 1'
_space_group_IT_number 1
loop_
_space_group_symop_operation_xyz
'x,y,z'
loop_
_atom_site_label
_atom_site_fract_x
_atom_site_fract_y
_atom_site_fract_z
O1 0.7361 0.2639 0.7361
Gd1 0.0000 0.0000 0.0000
Sr1 0.7500 0.7500 0.7500
O2 0.7361 0.7361 0.2639
Ca1 0.2500 0.2500 0.2500
O3 0.2639 0.7361 0.7361
O4 0.7361 0.2639 0.2639
Sb1 0.5000 0.5000 0.5000
O5 0.2639 0.7361 0.2639
O6 0.2639 0.2639 0.7361
```

Record 2
Crystalline Tb5InGa4 at its relaxed geometry. Source: Alexandria, functional GGA-PBE.

Properties
Size of the total moment in μB/cell: 0.000
Calculated formation energy in kJ/mol of formula units: -543
Symmetry: P4/mmm (123)

CIF file:
```
data_Tb5InGa4
_cell_length_a 3.5904
_cell_length_b 3.5904
_cell_length_c 18.4903
_cell_angle_alpha 90.00
_cell_angle_beta 90.00
_cell_angle_gamma 90.00
_space_group_name_H-M_alt 'P 1'
_space_group_IT_number 1
loop_
_space_group_symop_operation_xyz
'x,y,z'
loop_
_atom_site_label
_atom_site_fract_x
_atom_site_fract_y
_atom_site_fract_z
Tb1 0.5000 0.5000 0.6930
Ga1 0.0000 0.0000 0.7911
Tb2 0.5000 0.5000 0.5000
Tb3 0.5000 0.5000 0.1117
Ga2 0.0000 0.0000 0.2089
Tb4 0.5000 0.5000 0.3070
Tb5 0.5000 0.5000 0.8883
In1 0.0000 0.0000 0.0000
Ga3 0.0000 0.0000 0.4038
Ga4 0.0000 0.0000 0.5962
```

Record 3
Crystalline CdTcICl2 at its relaxed geometry. Source: Alexandria, functional GGA-PBE.

Properties
ΔE_f (raw) in meV per atom: -50
Size of the total moment in μB/cell: 2.935
Symmetry: P4/mmm (123)

CIF file:
```
data_CdTcICl2
_cell_length_a 4.8716
_cell_length_b 4.8716
_cell_length_c 5.7821
_cell_angle_alpha 90.00
_cell_angle_beta 90.00
_cell_angle_gamma 90.00
_space_group_name_H-M_alt 'P 1'
_space_group_IT_number 1
loop_
_space_group_symop_operation_xyz
'x,y,z'
loop_
_atom_site_label
_atom_site_fract_x
_atom_site_fract_y
_atom_site_fract_z
Cl1 0.5000 0.0000 0.0000
Cl2 0.0000 0.5000 0.0000
Tc1 0.0000 0.0000 0.0000
Cd1 0.5000 0.5000 0.5000
I1 0.0000 0.0000 0.5000
```

Record 4
Crystalline KDyTi2O6 at its relaxed geometry. Source: Alexandria, functional GGA-PBE.

Properties
ΔE_f (raw) in meV per atom: -2971
Size of the total moment in μB/cell: 0.000
Symmetry: C2/c (15)

CIF file:
```
data_KDyTi2O6
_cell_length_a 6.3651
_cell_length_b 7.6299
_cell_length_c 7.6299
_cell_angle_alpha 86.20
_cell_angle_beta 74.94
_cell_angle_gamma 74.94
_space_group_name_H-M_alt 'P 1'
_space_group_IT_number 1
loop_
_space_group_symop_operation_xyz
'x,y,z'
loop_
_atom_site_label
_atom_site_fract_x
_atom_site_fract_y
_atom_site_fract_z
Ti1 0.8302 0.6235 0.7837
O1 0.7940 0.0023 0.2593
O2 0.2940 0.2593 0.0023
O3 0.6227 0.1841 0.6115
O4 0.1227 0.6115 0.1841
K1 0.2500 0.9067 0.0933
O5 0.2060 0.9977 0.7407
Ti2 0.1698 0.3765 0.2163
Dy1 0.7500 0.7225 0.2775
Ti3 0.3302 0.7837 0.6235
O6 0.7060 0.7407 0.9977
K2 0.7500 0.0933 0.9067
Dy2 0.2500 0.2775 0.7225
O7 0.8773 0.3885 0.8159
Ti4 0.6698 0.2163 0.3765
O8 0.3773 0.8159 0.3885
O9 0.1424 0.6179 0.6986
O10 0.8576 0.3821 0.3014
O11 0.6424 0.6986 0.6179
O12 0.3576 0.3014 0.3821
```

Record 5
Crystalline Sm4Al3In at its relaxed geometry. Source: Alexandria, functional GGA-PBE.

Properties
Size of the total moment in μB/cell: 0.004
Calculated formation energy in kJ/mol of formula units: -287
Symmetry: Pmm2 (25)

CIF file:
```
data_Sm4Al3In
_cell_length_a 4.5424
_cell_length_b 4.2763
_cell_length_c 11.4780
_cell_angle_alpha 90.00
_cell_angle_beta 90.00
_cell_angle_gamma 90.00
_space_group_name_H-M_alt 'P 1'
_space_group_IT_number 1
loop_
_space_group_symop_operation_xyz
'x,y,z'
loop_
_atom_site_label
_atom_site_fract_x
_atom_site_fract_y
_atom_site_fract_z
Sm1 0.0000 0.0000 0.1433
Sm2 0.5000 0.5000 0.3651
Al1 0.0000 0.5000 0.5697
In1 0.5000 0.5000 0.0763
Al2 0.5000 0.0000 0.9215
Sm3 0.0000 0.5000 0.8542
Sm4 0.5000 0.0000 0.6394
Al3 0.0000 0.0000 0.4305
```

Record 6
Crystalline Er3TlAg2Te6 at its relaxed geometry. Source: Alexandria, functional GGA-PBE.

Properties
ΔE_f (raw) in meV per atom: -895
Size of the total moment in μB/cell: 0.000
Symmetry: C2/m (12)

CIF file:
```
data_Er3TlAg2Te6
_cell_length_a 4.4774
_cell_length_b 9.4140
_cell_length_c 11.0543
_cell_angle_alpha 110.81
_cell_angle_beta 101.68
_cell_angle_gamma 90.00
_space_group_name_H-M_alt 'P 1'
_space_group_IT_number 1
loop_
_space_group_symop_operation_xyz
'x,y,z'
loop_
_atom_site_label
_atom_site_fract_x
_atom_site_fract_y
_atom_site_fract_z
Ag1 0.2327 0.1908 0.4654
Ag2 0.7673 0.8092 0.5346
Er1 0.5000 0.5000 0.0000
Te1 0.3331 0.9537 0.6662
Tl1 0.5000 0.0000 0.0000
Te2 0.9860 0.2671 0.9719
Te3 0.6500 0.5665 0.3001
Te4 0.0140 0.7329 0.0281
Er2 0.1605 0.8014 0.3209
Er3 0.8395 0.1986 0.6791
Te5 0.6669 0.0463 0.3338
Te6 0.3500 0.4335 0.6999
```

Number 1: raw total energy -7.692 eV/atom. Number 2: raw total energy -4.363 eV/atom. Number 3: raw total energy -3.355 eV/atom. Number 4: raw total energy -8.095 eV/atom. Number 5: raw total energy -4.477 eV/atom. Number 6: raw total energy -4.279 eV/atom.